Model A:
Below is crystalline Na2In3Ag5 at its relaxed geometry, with properties calculated at the PBE level.

a b c (Å): 8.6288 8.6288 5.9893
angles (deg): 92.71 92.71 107.27
Last column: nearest neighbours and their distance in Å.
Element x y z (fractional)
Na 0.1228 0.6302 0.8842  2 Na 3.03-3.10, 6 Ag 3.16-3.35, 5 In 3.21-3.33
Na 0.3698 0.8772 0.6158  2 Na 3.03-3.10, 6 Ag 3.16-3.35, 5 In 3.21-3.33
Na 0.6302 0.1228 0.3842  2 Na 3.03-3.10, 6 Ag 3.16-3.35, 5 In 3.21-3.33
Na 0.8772 0.3698 0.1158  2 Na 3.03-3.10, 6 Ag 3.16-3.35, 5 In 3.21-3.33
In 0.0105 0.7187 0.3852  6 Ag 2.86-3.03
In 0.2813 0.9895 0.1148  6 Ag 2.86-3.03
In 0.4581 0.5419 0.7500  8 Ag 2.93-3.08, 2 In 3.21
In 0.5419 0.4581 0.2500  8 Ag 2.93-3.08, 2 In 3.21
In 0.7187 0.0105 0.8852  6 Ag 2.86-3.03
In 0.9895 0.2813 0.6148  6 Ag 2.86-3.03
Ag 0.0362 0.9638 0.7500  4 In 2.92-3.03, 6 Ag 3.03-3.16
Ag 0.2109 0.2880 0.9974  4 In 2.90-3.08, 6 Ag 2.92-3.18
Ag 0.2309 0.5280 0.3656  4 In 2.86-3.02, 3 Ag 2.92-3.05, 1 Na 3.16
Ag 0.2880 0.2109 0.4974  4 In 2.90-3.08, 6 Ag 2.92-3.18
Ag 0.4720 0.7691 0.1344  4 In 2.86-3.02, 3 Ag 2.92-3.05, 1 Na 3.16
Ag 0.5280 0.2309 0.8656  4 In 2.86-3.02, 3 Ag 2.92-3.05, 1 Na 3.16
Ag 0.7120 0.7891 0.5026  4 In 2.90-3.08, 6 Ag 2.92-3.18
Ag 0.7691 0.4720 0.6344  4 In 2.86-3.02, 3 Ag 2.92-3.05, 1 Na 3.16
Ag 0.7891 0.7120 0.0026  4 In 2.90-3.08, 6 Ag 2.92-3.18
Ag 0.9638 0.0362 0.2500  4 In 2.92-3.03, 6 Ag 3.03-3.16

* crystal system: monoclinic
* Fermi-level density of states: 3.844 states/eV/f.u.
* total moment: 0.000 μB/atom

=====

Model B:
Below is crystalline Na2In3Ag5 at its relaxed geometry, with properties calculated at the PBE level.

a b c (Å): 9.3340 9.3340 9.3340
angles (deg): 99.87 92.97 140.97
Last column: nearest neighbours and their distance in Å.
Element x y z (fractional)
Na 0.2485 0.1236 0.3721  4 Ag 3.27-3.37, 4 In 3.29-3.43
Na 0.2515 0.6236 0.8751  4 Ag 3.27-3.37, 4 In 3.29-3.43
Na 0.7485 0.3764 0.1249  4 Ag 3.27-3.37, 4 In 3.29-3.43
Na 0.7515 0.8764 0.6279  4 Ag 3.27-3.37, 4 In 3.29-3.43
In 0.1406 0.3718 0.5124  5 Ag 2.72-2.84
In 0.2500 0.2500 0.0000  6 Ag 2.89-2.96, 2 In 3.12
In 0.3594 0.8718 0.2312  5 Ag 2.72-2.84
In 0.6406 0.1282 0.7688  5 Ag 2.72-2.84
In 0.7500 0.7500 0.0000  6 Ag 2.89-2.96, 2 In 3.12
In 0.8594 0.6282 0.4876  5 Ag 2.72-2.84
Ag 0.1481 0.8740 0.0221  3 In 2.72-2.89, 2 Ag 2.85
Ag 0.2500 0.0038 0.7538  3 In 2.82-2.96, 5 Ag 2.85-3.12
Ag 0.2500 0.4962 0.2462  3 In 2.82-2.96, 5 Ag 2.85-3.12
Ag 0.2500 0.7500 0.5000  4 In 2.84, 4 Ag 3.05-3.12
Ag 0.3519 0.3740 0.7259  3 In 2.72-2.89, 2 Ag 2.85
Ag 0.6481 0.6260 0.2741  3 In 2.72-2.89, 2 Ag 2.85
Ag 0.7500 0.2500 0.5000  4 In 2.84, 4 Ag 3.05-3.12
Ag 0.7500 0.5038 0.7538  3 In 2.82-2.96, 5 Ag 2.85-3.12
Ag 0.7500 0.9962 0.2462  3 In 2.82-2.96, 5 Ag 2.85-3.12
Ag 0.8519 0.1260 0.9779  3 In 2.72-2.89, 2 Ag 2.85

* crystal system: orthorhombic
* Fermi-level density of states: 3.405 states/eV/f.u.
* total moment: 0.000 μB/atom

=====

Bottom line: model A, by a margin of 0.046 eV/atom.

=====

Model A:
Below is crystalline Na2In2Ag at its relaxed geometry, with properties calculated at the PBE level.

a b c (Å): 8.3129 8.3129 8.3129
angles (deg): 151.49 151.49 40.76
Last column: nearest neighbours and their distance in Å.
Element x y z (fractional)
Na 0.2500 0.7500 0.5000  4 Na 2.90, 4 In 3.22
Na 0.7500 0.2500 0.5000  4 Na 2.90, 4 In 3.22
In 0.0907 0.0907 0.0000  1 In 2.83
In 0.9093 0.9093 0.0000  1 In 2.83
Ag 0.5000 0.5000 0.0000  8 In 3.22

* crystal system: tetragonal
* Fermi-level density of states: 1.685 states/eV/f.u.
* total moment: 0.000 μB/atom

=====

Model B:
Below is crystalline Na2In2Ag at its relaxed geometry, with properties calculated at the PBE level.

a b c (Å): 5.9935 5.9935 9.3866
angles (deg): 101.81 101.81 50.95
Last column: nearest neighbours and their distance in Å.
Element x y z (fractional)
Na 0.0568 0.0568 0.3570  2 Na 3.20-3.42, 7 In 3.20-3.44, 4 Ag 3.26-3.40
Na 0.1727 0.1727 0.0472  4 Na 3.30-3.64, 6 In 3.39-3.54, 3 Ag 3.57-3.69
Na 0.8273 0.8273 0.9528  4 Na 3.30-3.64, 6 In 3.39-3.54, 3 Ag 3.57-3.69
Na 0.9432 0.9432 0.6430  2 Na 3.20-3.42, 7 In 3.20-3.44, 4 Ag 3.26-3.40
In 0.3613 0.3613 0.4081  3 Ag 2.90-3.10, 2 In 3.07-3.10, 1 Na 3.22
In 0.4936 0.4936 0.1509  1 Ag 2.85, 2 In 2.87-3.07
In 0.5064 0.5064 0.8491  1 Ag 2.85, 2 In 2.87-3.07
In 0.6387 0.6387 0.5919  3 Ag 2.90-3.10, 2 In 3.07-3.10, 1 Na 3.22
Ag 0.2503 0.2503 0.6845  4 In 2.85-3.10
Ag 0.7497 0.7497 0.3155  4 In 2.85-3.10

* crystal system: monoclinic
* Fermi-level density of states: 1.345 states/eV/f.u.
* total moment: 0.000 μB/atom

=====

Bottom line: model B, by a margin of 0.222 eV/atom.

=====

Model A:
Below is crystalline Na2InAg3 at its relaxed geometry, with properties calculated at the PBE level.

a b c (Å): 5.7128 5.7128 5.6482
angles (deg): 118.13 118.13 61.14
Last column: nearest neighbours and their distance in Å.
Element x y z (fractional)
Na 0.1243 0.1243 0.3764  9 Ag 3.32-3.41, 3 In 3.41-3.44, 4 Na 3.42-3.57
Na 0.8757 0.8757 0.6236  9 Ag 3.32-3.41, 3 In 3.41-3.44, 4 Na 3.42-3.57
In 0.5000 0.5000 0.0000  6 Ag 2.82-2.86
Ag 0.0000 0.5000 0.0000  2 In 2.86, 4 Ag 2.91-2.92
Ag 0.5000 0.0000 0.0000  2 In 2.86, 4 Ag 2.91-2.92
Ag 0.5000 0.5000 0.5000  2 In 2.82, 4 Ag 2.92

* crystal system: monoclinic
* Fermi-level density of states: 2.249 states/eV/f.u.
* total moment: 0.000 μB/atom

=====

Model B:
Below is crystalline Na2InAg3 at its relaxed geometry, with properties calculated at the PBE level.

a b c (Å): 5.7900 5.7900 9.3816
angles (deg): 90.00 90.00 120.00
Last column: nearest neighbours and their distance in Å.
Element x y z (fractional)
Na 0.3333 0.6667 0.0645  9 Ag 3.37-3.38, 3 In 3.40, 4 Na 3.48-3.56
Na 0.3333 0.6667 0.4355  9 Ag 3.37-3.38, 3 In 3.40, 4 Na 3.48-3.56
Na 0.6667 0.3333 0.5645  9 Ag 3.37-3.38, 3 In 3.40, 4 Na 3.48-3.56
Na 0.6667 0.3333 0.9355  9 Ag 3.37-3.38, 3 In 3.40, 4 Na 3.48-3.56
In 0.0000 0.0000 0.0000  6 Ag 2.90
In 0.0000 0.0000 0.5000  6 Ag 2.90
Ag 0.1707 0.3413 0.7500  4 Ag 2.83-2.96, 2 In 2.90
Ag 0.1707 0.8293 0.7500  4 Ag 2.83-2.96, 2 In 2.90
Ag 0.3413 0.1707 0.2500  4 Ag 2.83-2.96, 2 In 2.90
Ag 0.6587 0.8293 0.7500  4 Ag 2.83-2.96, 2 In 2.90
Ag 0.8293 0.1707 0.2500  4 Ag 2.83-2.96, 2 In 2.90
Ag 0.8293 0.6587 0.2500  4 Ag 2.83-2.96, 2 In 2.90

* crystal system: hexagonal
* Fermi-level density of states: 2.718 states/eV/f.u.
* total moment: 0.000 μB/atom

=====

Bottom line: model A, by a margin of 0.020 eV/atom.

=====

Model A:
Below is crystalline NaIn4Ag4 at its relaxed geometry, with properties calculated at the PBE level.

a b c (Å): 6.4793 6.4793 10.0455
angles (deg): 90.00 90.00 90.00
Last column: nearest neighbours and their distance in Å.
Element x y z (fractional)
Na 0.2500 0.7500 0.2500  4 In 3.33, 8 Ag 3.60
Na 0.7500 0.2500 0.7500  4 In 3.33, 8 Ag 3.60
In 0.0136 0.2500 0.0343  5 Ag 2.86-2.99, 1 In 3.06
In 0.2500 0.0136 0.5343  5 Ag 2.86-2.99, 1 In 3.06
In 0.2500 0.4864 0.5343  5 Ag 2.86-2.99, 1 In 3.06
In 0.4864 0.2500 0.0343  5 Ag 2.86-2.99, 1 In 3.06
In 0.5136 0.7500 0.9657  5 Ag 2.86-2.99, 1 In 3.06
In 0.7500 0.5136 0.4657  5 Ag 2.86-2.99, 1 In 3.06
In 0.7500 0.9864 0.4657  5 Ag 2.86-2.99, 1 In 3.06
In 0.9864 0.7500 0.9657  5 Ag 2.86-2.99, 1 In 3.06
Ag 0.0344 0.2500 0.3191  3 Ag 2.79-2.95, 5 In 2.86-2.99
Ag 0.2500 0.0344 0.8191  3 Ag 2.79-2.95, 5 In 2.86-2.99
Ag 0.2500 0.4656 0.8191  3 Ag 2.79-2.95, 5 In 2.86-2.99
Ag 0.4656 0.2500 0.3191  3 Ag 2.79-2.95, 5 In 2.86-2.99
Ag 0.5344 0.7500 0.6809  3 Ag 2.79-2.95, 5 In 2.86-2.99
Ag 0.7500 0.5344 0.1809  3 Ag 2.79-2.95, 5 In 2.86-2.99
Ag 0.7500 0.9656 0.1809  3 Ag 2.79-2.95, 5 In 2.86-2.99
Ag 0.9656 0.7500 0.6809  3 Ag 2.79-2.95, 5 In 2.86-2.99

* crystal system: tetragonal
* Fermi-level density of states: 3.815 states/eV/f.u.
* total moment: 0.000 μB/atom

=====

Model B:
Below is crystalline NaIn4Ag4 at its relaxed geometry, with properties calculated at the PBE level.

a b c (Å): 9.6228 9.6228 5.2279
angles (deg): 90.00 90.00 90.00
Last column: nearest neighbours and their distance in Å.
Element x y z (fractional)
Na 0.2500 0.2500 0.2500  4 Ag 3.50, 4 In 3.90
Na 0.7500 0.7500 0.7500  4 Ag 3.50, 4 In 3.90
In 0.1388 0.6394 0.2477  5 Ag 2.74-2.97, 1 In 3.02
In 0.1394 0.8612 0.7477  5 Ag 2.74-2.97, 1 In 3.02
In 0.3606 0.6388 0.7477  5 Ag 2.74-2.97, 1 In 3.02
In 0.3612 0.8606 0.2477  5 Ag 2.74-2.97, 1 In 3.02
In 0.6388 0.1394 0.7523  5 Ag 2.74-2.97, 1 In 3.02
In 0.6394 0.3612 0.2523  5 Ag 2.74-2.97, 1 In 3.02
In 0.8606 0.1388 0.2523  5 Ag 2.74-2.97, 1 In 3.02
In 0.8612 0.3606 0.7523  5 Ag 2.74-2.97, 1 In 3.02
Ag 0.0613 0.5624 0.7480  5 In 2.74-2.97
Ag 0.0624 0.9387 0.2480  5 In 2.74-2.97
Ag 0.4376 0.5613 0.2480  5 In 2.74-2.97
Ag 0.4387 0.9376 0.7480  5 In 2.74-2.97
Ag 0.5613 0.0624 0.2520  5 In 2.74-2.97
Ag 0.5624 0.4387 0.7520  5 In 2.74-2.97
Ag 0.9376 0.0613 0.7520  5 In 2.74-2.97
Ag 0.9387 0.4376 0.2520  5 In 2.74-2.97

* crystal system: tetragonal
* Fermi-level density of states: 2.981 states/eV/f.u.
* total moment: 0.000 μB/atom

=====

Bottom line: model A, by a margin of 0.033 eV/atom.